1.
# La2HoUN4 (PBE, relaxed)
data_La2HoUN4
_cell_length_a 3.559
_cell_length_b 6.050
_cell_length_c 6.302
_cell_angle_alpha 108.67
_cell_angle_beta 90.00
_cell_angle_gamma 90.00
_symmetry_space_group_name_H-M 'P 1'
_symmetry_Int_Tables_number 1
loop_
_symmetry_equiv_pos_as_xyz
'x,y,z'
loop_
_atom_site_label
_atom_site_type_symbol
_atom_site_fract_x
_atom_site_fract_y
_atom_site_fract_z
_atom_site_occupancy
La1 La 0.500 0.000 0.500 1
La2 La 0.000 0.500 0.500 1
Ho1 Ho 0.500 0.500 0.000 1
U1 U 0.000 0.000 0.000 1
N1 N 0.500 0.219 0.202 1
N2 N 0.500 0.781 0.798 1
N3 N 0.000 0.239 0.794 1
N4 N 0.000 0.761 0.206 1
# **Uncorrected formation energy**: -1486 meV per atom

***

2.
# La4HoU3N8 (PBE, relaxed)
data_La4HoU3N8
_cell_length_a 7.065
_cell_length_b 7.201
_cell_length_c 7.066
_cell_angle_alpha 119.38
_cell_angle_beta 120.00
_cell_angle_gamma 90.00
_symmetry_space_group_name_H-M 'P 1'
_symmetry_Int_Tables_number 1
loop_
_symmetry_equiv_pos_as_xyz
'x,y,z'
loop_
_atom_site_label
_atom_site_type_symbol
_atom_site_fract_x
_atom_site_fract_y
_atom_site_fract_z
_atom_site_occupancy
La1 La 0.500 0.000 0.000 1
La2 La 0.500 0.000 0.500 1
La3 La 0.000 0.000 0.000 1
La4 La 0.000 0.000 0.500 1
Ho1 Ho 0.000 0.500 0.000 1
U1 U 0.500 0.500 0.000 1
U2 U 0.500 0.500 0.500 1
U3 U 0.000 0.500 0.500 1
N1 N 0.241 0.699 0.958 1
N2 N 0.241 0.699 0.482 1
N3 N 0.268 0.303 0.535 1
N4 N 0.716 0.699 0.958 1
N5 N 0.284 0.301 0.042 1
N6 N 0.732 0.697 0.465 1
N7 N 0.759 0.301 0.518 1
N8 N 0.759 0.301 0.042 1
# **Uncorrected formation energy**: -1439 meV per atom

***

3.
# LaHo2WN4 (PBE, relaxed)
data_LaHo2WN4
_cell_length_a 3.427
_cell_length_b 6.231
_cell_length_c 12.014
_cell_angle_alpha 90.00
_cell_angle_beta 90.00
_cell_angle_gamma 105.96
_symmetry_space_group_name_H-M 'P 1'
_symmetry_Int_Tables_number 1
loop_
_symmetry_equiv_pos_as_xyz
'x,y,z'
loop_
_atom_site_label
_atom_site_type_symbol
_atom_site_fract_x
_atom_site_fract_y
_atom_site_fract_z
_atom_site_occupancy
La1 La 0.082 0.165 0.750 1
La2 La 0.918 0.835 0.250 1
Ho1 Ho 0.371 0.742 0.539 1
Ho2 Ho 0.629 0.258 0.039 1
Ho3 Ho 0.629 0.258 0.461 1
Ho4 Ho 0.371 0.742 0.961 1
W1 W 0.825 0.650 0.750 1
W2 W 0.175 0.350 0.250 1
N1 N 0.262 0.524 0.117 1
N2 N 0.738 0.476 0.617 1
N3 N 0.738 0.476 0.883 1
N4 N 0.262 0.524 0.383 1
N5 N 0.000 0.000 0.500 1
N6 N 0.000 0.000 0.000 1
N7 N 0.424 0.848 0.750 1
N8 N 0.576 0.152 0.250 1
# **Uncorrected formation energy**: -1168 meV per atom

***

4.
# Na3La12Ho5 (PBE, relaxed)
data_Na3La12Ho5
_cell_length_a 16.157
_cell_length_b 16.157
_cell_length_c 16.157
_cell_angle_alpha 109.47
_cell_angle_beta 109.47
_cell_angle_gamma 109.47
_symmetry_space_group_name_H-M 'P 1'
_symmetry_Int_Tables_number 1
loop_
_symmetry_equiv_pos_as_xyz
'x,y,z'
loop_
_atom_site_label
_atom_site_type_symbol
_atom_site_fract_x
_atom_site_fract_y
_atom_site_fract_z
_atom_site_occupancy
Na1 Na 0.750 0.375 0.125 1
Na2 Na 0.875 0.750 0.125 1
Na3 Na 0.375 0.750 0.625 1
Na4 Na 0.250 0.125 0.375 1
Na5 Na 0.875 0.125 0.250 1
Na6 Na 0.375 0.625 0.250 1
Na7 Na 0.625 0.375 0.750 1
Na8 Na 0.125 0.875 0.750 1
Na9 Na 0.750 0.875 0.625 1
Na10 Na 0.625 0.250 0.375 1
Na11 Na 0.125 0.250 0.875 1
Na12 Na 0.250 0.625 0.875 1
Ho1 Ho 0.125 0.375 0.250 1
Ho2 Ho 0.000 0.500 0.000 1
Ho3 Ho 0.000 0.000 0.000 1
Ho4 Ho 0.375 0.250 0.125 1
Ho5 Ho 0.500 0.000 0.500 1
Ho6 Ho 0.500 0.500 0.000 1
Ho7 Ho 0.125 0.750 0.375 1
Ho8 Ho 0.750 0.125 0.875 1
Ho9 Ho 0.750 0.625 0.375 1
Ho10 Ho 0.375 0.125 0.750 1
Ho11 Ho 0.625 0.875 0.250 1
Ho12 Ho 0.500 0.500 0.500 1
Ho13 Ho 0.500 0.000 0.000 1
Ho14 Ho 0.000 0.000 0.500 1
Ho15 Ho 0.250 0.375 0.625 1
Ho16 Ho 0.250 0.875 0.125 1
Ho17 Ho 0.000 0.500 0.500 1
Ho18 Ho 0.875 0.250 0.625 1
Ho19 Ho 0.625 0.750 0.875 1
Ho20 Ho 0.875 0.625 0.750 1
La1 La 0.709 0.108 0.025 1
La2 La 0.316 0.525 0.416 1
La3 La 0.975 0.392 0.291 1
La4 La 0.525 0.209 0.108 1
La5 La 0.601 0.709 0.684 1
La6 La 0.975 0.584 0.184 1
La7 La 0.316 0.791 0.399 1
La8 La 0.084 0.899 0.108 1
La9 La 0.584 0.975 0.684 1
La10 La 0.709 0.601 0.184 1
La11 La 0.791 0.475 0.392 1
La12 La 0.816 0.916 0.025 1
La13 La 0.108 0.709 0.525 1
La14 La 0.392 0.416 0.101 1
La15 La 0.101 0.916 0.392 1
La16 La 0.399 0.108 0.584 1
La17 La 0.101 0.184 0.209 1
La18 La 0.475 0.684 0.084 1
La19 La 0.816 0.899 0.291 1
La20 La 0.108 0.399 0.084 1
La21 La 0.392 0.975 0.791 1
La22 La 0.584 0.608 0.399 1
La23 La 0.916 0.816 0.525 1
La24 La 0.791 0.316 0.899 1
La25 La 0.416 0.392 0.601 1
La26 La 0.084 0.184 0.475 1
La27 La 0.209 0.684 0.101 1
La28 La 0.184 0.101 0.709 1
La29 La 0.608 0.025 0.209 1
La30 La 0.892 0.601 0.916 1
La31 La 0.525 0.316 0.916 1
La32 La 0.601 0.892 0.416 1
La33 La 0.899 0.816 0.791 1
La34 La 0.899 0.084 0.608 1
La35 La 0.892 0.291 0.475 1
La36 La 0.184 0.084 0.975 1
La37 La 0.608 0.584 0.899 1
La38 La 0.416 0.025 0.316 1
La39 La 0.291 0.399 0.816 1
La40 La 0.209 0.525 0.608 1
La41 La 0.916 0.101 0.892 1
La42 La 0.684 0.209 0.601 1
La43 La 0.475 0.791 0.892 1
La44 La 0.025 0.416 0.816 1
La45 La 0.399 0.291 0.316 1
La46 La 0.025 0.608 0.709 1
La47 La 0.684 0.475 0.584 1
La48 La 0.291 0.892 0.975 1
# **E_form**: 952 meV/atom

***

5.
# NaLaHo (PBE, relaxed)
data_NaLaHo
_cell_length_a 5.699
_cell_length_b 5.699
_cell_length_c 7.315
_cell_angle_alpha 90.00
_cell_angle_beta 90.00
_cell_angle_gamma 60.00
_symmetry_space_group_name_H-M 'P 1'
_symmetry_Int_Tables_number 1
loop_
_symmetry_equiv_pos_as_xyz
'x,y,z'
loop_
_atom_site_label
_atom_site_type_symbol
_atom_site_fract_x
_atom_site_fract_y
_atom_site_fract_z
_atom_site_occupancy
Na1 Na 0.629 0.979 0.790 1
Na2 Na 0.962 0.312 0.791 1
La1 La 0.295 0.645 0.523 1
La2 La 0.295 0.645 0.058 1
Ho1 Ho 0.629 0.979 0.291 1
Ho2 Ho 0.962 0.312 0.291 1
# **E_form**: 164 meV/atom

***

6.
# NaLaHo2 (PBE, relaxed)
data_NaLaHo2
_cell_length_a 3.535
_cell_length_b 3.535
_cell_length_c 12.928
_cell_angle_alpha 82.14
_cell_angle_beta 82.14
_cell_angle_gamma 60.00
_symmetry_space_group_name_H-M 'P 1'
_symmetry_Int_Tables_number 1
loop_
_symmetry_equiv_pos_as_xyz
'x,y,z'
loop_
_atom_site_label
_atom_site_type_symbol
_atom_site_fract_x
_atom_site_fract_y
_atom_site_fract_z
_atom_site_occupancy
Na1 Na 0.000 0.000 0.000 1
Ho1 Ho 0.091 0.091 0.726 1
Ho2 Ho 0.909 0.909 0.274 1
La1 La 0.500 0.500 0.500 1
# **E_form**: 191 meV/atom

***

7.
# NaLaHo (PBE, relaxed)
data_NaLaHo
_cell_length_a 3.597
_cell_length_b 3.597
_cell_length_c 9.347
_cell_angle_alpha 90.00
_cell_angle_beta 90.00
_cell_angle_gamma 120.00
_symmetry_space_group_name_H-M 'P 1'
_symmetry_Int_Tables_number 1
loop_
_symmetry_equiv_pos_as_xyz
'x,y,z'
loop_
_atom_site_label
_atom_site_type_symbol
_atom_site_fract_x
_atom_site_fract_y
_atom_site_fract_z
_atom_site_occupancy
Na1 Na 0.000 0.000 0.006 1
Ho1 Ho 0.667 0.333 0.346 1
La1 La 0.333 0.667 0.648 1
# **E_form**: 125 meV/atom

***

8.
# NaLaHo (PBE, relaxed)
data_NaLaHo
_cell_length_a 3.519
_cell_length_b 3.519
_cell_length_c 19.381
_cell_angle_alpha 84.79
_cell_angle_beta 84.79
_cell_angle_gamma 60.00
_symmetry_space_group_name_H-M 'P 1'
_symmetry_Int_Tables_number 1
loop_
_symmetry_equiv_pos_as_xyz
'x,y,z'
loop_
_atom_site_label
_atom_site_type_symbol
_atom_site_fract_x
_atom_site_fract_y
_atom_site_fract_z
_atom_site_occupancy
Ho1 Ho 0.690 0.690 0.930 1
Ho2 Ho 0.310 0.310 0.070 1
Na1 Na 0.862 0.862 0.415 1
Na2 Na 0.138 0.138 0.585 1
La1 La 0.749 0.749 0.754 1
La2 La 0.251 0.251 0.246 1
# **E_form**: 141 meV/atom

***

9.
# NaLaHo2 (PBE, relaxed)
data_NaLaHo2
_cell_length_a 3.593
_cell_length_b 3.593
_cell_length_c 10.533
_cell_angle_alpha 90.00
_cell_angle_beta 90.00
_cell_angle_gamma 90.00
_symmetry_space_group_name_H-M 'P 1'
_symmetry_Int_Tables_number 1
loop_
_symmetry_equiv_pos_as_xyz
'x,y,z'
loop_
_atom_site_label
_atom_site_type_symbol
_atom_site_fract_x
_atom_site_fract_y
_atom_site_fract_z
_atom_site_occupancy
Na1 Na 0.500 0.500 0.500 1
Ho1 Ho 0.000 0.000 0.765 1
Ho2 Ho 0.000 0.000 0.235 1
La1 La 0.500 0.500 0.000 1
# **E_form**: 173 meV/atom

***

10.
# NaLaHo (PBE, relaxed)
data_NaLaHo
_cell_length_a 3.576
_cell_length_b 3.576
_cell_length_c 8.629
_cell_angle_alpha 101.96
_cell_angle_beta 101.96
_cell_angle_gamma 90.00
_symmetry_space_group_name_H-M 'P 1'
_symmetry_Int_Tables_number 1
loop_
_symmetry_equiv_pos_as_xyz
'x,y,z'
loop_
_atom_site_label
_atom_site_type_symbol
_atom_site_fract_x
_atom_site_fract_y
_atom_site_fract_z
_atom_site_occupancy
Na1 Na 0.996 0.996 0.993 1
Ho1 Ho 0.328 0.328 0.655 1
La1 La 0.676 0.676 0.352 1
# **E_form**: 155 meV/atom

***

11.
# Na2LaHoO4 (PBE, relaxed)
data_Na2LaHoO4
_cell_length_a 3.534
_cell_length_b 6.149
_cell_length_c 5.975
_cell_angle_alpha 110.23
_cell_angle_beta 90.00
_cell_angle_gamma 90.00
_symmetry_space_group_name_H-M 'P 1'
_symmetry_Int_Tables_number 1
loop_
_symmetry_equiv_pos_as_xyz
'x,y,z'
loop_
_atom_site_label
_atom_site_type_symbol
_atom_site_fract_x
_atom_site_fract_y
_atom_site_fract_z
_atom_site_occupancy
Na1 Na 0.500 0.000 0.500 1
Na2 Na 0.000 0.500 0.500 1
La1 La 0.500 0.500 0.000 1
Ho1 Ho 0.000 0.000 0.000 1
O1 O 0.500 0.226 0.212 1
O2 O 0.500 0.774 0.788 1
O3 O 0.000 0.246 0.786 1
O4 O 0.000 0.754 0.214 1
# **Uncorrected formation energy**: -2716 meV per atom

***

12.
# NaLaHoPb (PBE, relaxed)
data_NaLaHoPb
_cell_length_a 5.533
_cell_length_b 5.533
_cell_length_c 5.533
_cell_angle_alpha 60.00
_cell_angle_beta 60.00
_cell_angle_gamma 60.00
_symmetry_space_group_name_H-M 'P 1'
_symmetry_Int_Tables_number 1
loop_
_symmetry_equiv_pos_as_xyz
'x,y,z'
loop_
_atom_site_label
_atom_site_type_symbol
_atom_site_fract_x
_atom_site_fract_y
_atom_site_fract_z
_atom_site_occupancy
Pb1 Pb 0.500 0.500 0.500 1
Na1 Na 0.000 0.000 0.000 1
Ho1 Ho 0.750 0.750 0.750 1
La1 La 0.250 0.250 0.250 1
# **E_form**: -185 meV/atom

***

DFT total energy values, unit eV per atom, following the record order: -8.863, -9.236, -8.711, -3.346, -3.444, -3.659, -3.483, -3.467, -3.678, -3.453, -6.713, -3.818.
Density of states at the Fermi level values, unit states/eV per cell, following the record order: 4.83, 12.18, 4.84, 116.20, 6.43, 4.80, 4.25, 9.46, 6.38, 4.53, 0.00, 3.31.
M_tot values, unit Bohr magnetons per cell, following the record order: 0.1, 1.4, 0.0, 0.0, 0.0, 0.0, 0.0, 0.0, 0.0, 0.0, 0.0, 0.0.